(1)
Here is a relaxed structure of ScTc2Te from Alexandria. Energies are from GGA-PBE.

Computed properties:
Formation energy from raw total energies   306 meV/atom
Magnetization   0.00 Bohr magnetons per cell

```
data_ScTc2Te
_cell_length_a 3.1822
_cell_length_b 3.1822
_cell_length_c 25.0433
_cell_angle_alpha 90.00
_cell_angle_beta 90.00
_cell_angle_gamma 120.00
_symmetry_space_group_name_H-M 'R -3 m'
_symmetry_Int_Tables_number 166
_symmetry_space_group_name_Hall '-R 3 2"'
loop_
_atom_site_label
_atom_site_type_symbol
_atom_site_fract_x
_atom_site_fract_y
_atom_site_fract_z
Sc1 Sc 0.0000 0.0000 0.0000
Tc1 Tc 0.0000 0.0000 0.2465
Te1 Te 0.0000 0.0000 0.5000
```


(2)
Here is a relaxed structure of ScTc2Te from Alexandria. Energies are from GGA-PBE.

Computed properties:
Formation energy from raw total energies   -51 meV/atom
Magnetization   0.00 Bohr magnetons per cell

```
data_ScTc2Te
_cell_length_a 10.247
_cell_length_b 3.352
_cell_length_c 4.418
_cell_angle_alpha 90.00
_cell_angle_beta 114.92
_cell_angle_gamma 90.00
_symmetry_space_group_name_H-M 'C 1 m 1'
_symmetry_Int_Tables_number 8
_symmetry_space_group_name_Hall 'C -2y'
loop_
_atom_site_label
_atom_site_type_symbol
_atom_site_fract_x
_atom_site_fract_y
_atom_site_fract_z
Sc1 Sc 0.000 0.000 0.000
Tc1 Tc 0.253 0.500 0.244
Tc2 Tc 0.497 0.000 0.499
Te1 Te 0.237 0.000 0.729
```


(3)
Here is a relaxed structure of Sc2TcTe from Alexandria. Energies are from GGA-PBE.

Computed properties:
Formation energy from raw total energies   -429 meV/atom
Magnetization   0.00 Bohr magnetons per cell

```
data_Sc2TcTe
_cell_length_a 4.621
_cell_length_b 4.621
_cell_length_c 3.667
_cell_angle_alpha 90.00
_cell_angle_beta 90.00
_cell_angle_gamma 90.00
_symmetry_space_group_name_H-M 'P 4/m m m'
_symmetry_Int_Tables_number 123
_symmetry_space_group_name_Hall '-P 4 2'
loop_
_atom_site_label
_atom_site_type_symbol
_atom_site_fract_x
_atom_site_fract_y
_atom_site_fract_z
Sc1 Sc 0.000 0.500 0.000
Tc1 Tc 0.000 0.000 0.500
Te1 Te 0.500 0.500 0.500
```


(4)
Here is a relaxed structure of ScTcTe from Alexandria. Energies are from GGA-PBE.

Computed properties:
Formation energy from raw total energies   -255 meV/atom
Magnetization   0.00 Bohr magnetons per cell
Excess energy over the best structure of this formula in the dataset   0 meV per atom

```
data_ScTcTe
_cell_length_a 3.393
_cell_length_b 4.321
_cell_length_c 8.160
_cell_angle_alpha 90.00
_cell_angle_beta 90.00
_cell_angle_gamma 90.00
_symmetry_space_group_name_H-M 'A m m 2'
_symmetry_Int_Tables_number 38
_symmetry_space_group_name_Hall 'A 2 -2'
loop_
_atom_site_label
_atom_site_type_symbol
_atom_site_fract_x
_atom_site_fract_y
_atom_site_fract_z
Sc1 Sc 0.000 0.000 0.000
Tc1 Tc 0.500 0.000 0.355
Te1 Te 0.500 0.000 0.673
```